# 1
## ErTlPd4 (PBE)

Data for crystalline ErTlPd4 at its relaxed geometry.

Results
For the theoretical density, the calculation gives 11.93 g cm⁻³. The value obtained for the energy of formation is -0.574 eV/atom. Its volume is 111.0 Å³/cell. The calculation puts the density of states at the Fermi level at 2.2 states/eV/f.u. The value obtained for the total DFT energy (no corrections) is -5.191 eV/atom. Its energy relative to the lowest polymorph listed for this composition is 0.000 eV/atom.

a = 5.394 Å, b = 5.394 Å, c = 5.394 Å
α = 60.00°, β = 60.00°, γ = 60.00°
Atoms (fractional coordinates):
Tl: 0.250 0.250 0.250
Pd: 0.625 0.625 0.125
Pd: 0.625 0.125 0.625
Pd: 0.625 0.625 0.625
Pd: 0.125 0.625 0.625
Er: 0.000 0.000 0.000

***

# 2
## NaFeCl6 (PBE)

Data for crystalline NaFeCl6 at its relaxed geometry.

Results
The uncorrected formation energy is -0.700 eV per atom. For the theoretical density, the calculation gives 1.70 g cm⁻³. Its volume is 284.6 Å³/cell. The calculation puts the density of states at the Fermi level at 4.3 states/eV/f.u. The value obtained for the total DFT energy (no corrections) is -3.308 eV/atom. Its energy relative to the lowest polymorph listed for this composition is 0.019 eV/atom.

a = 7.147 Å, b = 6.433 Å, c = 7.530 Å
α = 85.23°, β = 81.40°, γ = 56.25°
Atoms (fractional coordinates):
Na: 0.000 0.000 0.500
Fe: 0.000 0.000 0.000
Cl: 0.435 0.000 0.391
Cl: 0.120 0.706 0.801
Cl: 0.565 0.000 0.609
Cl: 0.173 0.706 0.199
Cl: 0.880 0.294 0.199
Cl: 0.827 0.294 0.801

***

# 3
## AsC2 (PBE)

Data for crystalline AsC2 at its relaxed geometry.

Results
For the theoretical density, the calculation gives 5.25 g cm⁻³. The value obtained for the energy of formation is 1.098 eV/atom. Its volume is 93.9 Å³/cell. The calculation puts the density of states at the Fermi level at 0.2 states/eV/f.u. The value obtained for the total DFT energy (no corrections) is -6.601 eV/atom. Its energy relative to the lowest polymorph listed for this composition is 0.747 eV/atom.

a = 3.143 Å, b = 3.143 Å, c = 10.973 Å
α = 90.00°, β = 90.00°, γ = 120.00°
Atoms (fractional coordinates):
As: 0.000 0.000 0.000
As: 0.333 0.667 0.667
As: 0.667 0.333 0.333
C: 0.000 0.000 0.562
C: 0.000 0.000 0.438
C: 0.333 0.667 0.229
C: 0.333 0.667 0.104
C: 0.667 0.333 0.896
C: 0.667 0.333 0.771

***

# 4
## CeDy2UO8 (PBE)

Data for crystalline CeDy2UO8 at its relaxed geometry.

Results
The uncorrected formation energy is -3.459 eV per atom. For the theoretical density, the calculation gives 8.90 g cm⁻³. Its volume is 155.1 Å³/cell. The value obtained for the total DFT energy (no corrections) is -8.967 eV/atom.

a = 3.810 Å, b = 5.375 Å, c = 7.574 Å
α = 90.01°, β = 90.00°, γ = 90.01°
Atoms (fractional coordinates):
Ce: 0.000 0.000 0.500
Dy: 0.500 0.500 0.750
Dy: 0.500 0.500 0.250
U: 0.000 0.000 0.000
O: 0.000 0.760 0.231
O: 0.500 0.768 0.000
O: 0.000 0.240 0.231
O: 0.000 0.240 0.769
O: 0.500 0.232 0.000
O: 0.000 0.760 0.769
O: 0.500 0.751 0.500
O: 0.500 0.249 0.500